(1)
# HgAsSeBr2 PBE-GGA optimized geometry
# E above lowest polymorph	0	meV/atom
data_HgAsSeBr2
_symmetry_space_group_name_H-M 'P 4/m m m'
_symmetry_Int_Tables_number 123
_symmetry_space_group_name_Hall '-P 4 2'
_cell_length_a 5.282
_cell_length_b 5.282
_cell_length_c 5.245
_cell_angle_alpha 90.00
_cell_angle_beta 90.00
_cell_angle_gamma 90.00
loop_
_atom_site_label
_atom_site_fract_x
_atom_site_fract_y
_atom_site_fract_z
Hg1 0.000 0.000 0.000
As1 0.500 0.500 0.500
Se1 0.500 0.500 0.000
Br1 0.000 0.500 0.500

(2)
A relaxed structure of Na4InCl5. Source: Alexandria via LeMat-Bulk, functional PBE-GGA.

Structure (CIF):
```
data_Na4InCl5
_symmetry_space_group_name_H-M 'I m m m'
_symmetry_Int_Tables_number 71
_symmetry_space_group_name_Hall '-I 2 2'
_cell_length_a 4.075
_cell_length_b 5.951
_cell_length_c 20.936
_cell_angle_alpha 90.00
_cell_angle_beta 90.00
_cell_angle_gamma 90.00
loop_
_atom_site_label
_atom_site_fract_x
_atom_site_fract_y
_atom_site_fract_z
Na1 0.000 0.000 0.104
Na2 0.000 0.000 0.294
In1 0.000 0.000 0.500
Cl1 0.000 0.500 0.116
Cl2 0.000 0.500 0.302
Cl3 0.000 0.500 0.500
```

(3)
# Sm2ScPt PBE-GGA optimized geometry
# calculated formation energy	-61	kJ/mol of formula units
# E above lowest polymorph	345	meV/atom
data_Sm2ScPt
_symmetry_space_group_name_H-M 'R -3 m'
_symmetry_Int_Tables_number 166
_symmetry_space_group_name_Hall '-R 3 2"'
_cell_length_a 3.6591
_cell_length_b 3.6591
_cell_length_c 31.1700
_cell_angle_alpha 90.00
_cell_angle_beta 90.00
_cell_angle_gamma 120.00
loop_
_atom_site_label
_atom_site_fract_x
_atom_site_fract_y
_atom_site_fract_z
Sm1 0.0000 0.0000 0.1051
Sc1 0.0000 0.0000 0.0000
Pt1 0.0000 0.0000 0.5000

(4)
A relaxed structure of BeSiOs. Source: Alexandria via LeMat-Bulk, functional PBE-GGA.

Structure (CIF):
```
data_BeSiOs
_symmetry_space_group_name_H-M 'F m m 2'
_symmetry_Int_Tables_number 42
_symmetry_space_group_name_Hall 'F 2 -2'
_cell_length_a 2.847
_cell_length_b 4.674
_cell_length_c 11.447
_cell_angle_alpha 90.00
_cell_angle_beta 90.00
_cell_angle_gamma 90.00
loop_
_atom_site_label
_atom_site_fract_x
_atom_site_fract_y
_atom_site_fract_z
Be1 0.000 0.000 0.000
Si1 0.000 0.000 0.663
Os1 0.000 0.000 0.337
```

(5)
# KLa2NbO6 PBE-GGA optimized geometry
# E above lowest polymorph	299	meV/atom
data_KLa2NbO6
_symmetry_space_group_name_H-M 'P 4 m m'
_symmetry_Int_Tables_number 99
_symmetry_space_group_name_Hall 'P 4 -2'
_cell_length_a 5.575
_cell_length_b 5.575
_cell_length_c 5.813
_cell_angle_alpha 90.00
_cell_angle_beta 90.00
_cell_angle_gamma 90.00
loop_
_atom_site_label
_atom_site_fract_x
_atom_site_fract_y
_atom_site_fract_z
K1 0.000 0.000 0.000
La1 0.000 0.500 0.458
Nb1 0.500 0.500 0.093
O1 0.000 0.000 0.573
O2 0.273 0.273 0.230
O3 0.500 0.500 0.764

(6)
# Ti3VNi PBE-GGA optimized geometry
# calculated formation energy	407	kJ/mol of formula units
# E above lowest polymorph	284	meV/atom
data_Ti3VNi
_symmetry_space_group_name_H-M 'P m -3 m'
_symmetry_Int_Tables_number 221
_symmetry_space_group_name_Hall '-P 4 2 3'
_cell_length_a 4.474
_cell_length_b 4.474
_cell_length_c 4.474
_cell_angle_alpha 90.00
_cell_angle_beta 90.00
_cell_angle_gamma 90.00
loop_
_atom_site_label
_atom_site_fract_x
_atom_site_fract_y
_atom_site_fract_z
Ti1 0.000 0.000 0.500
V1 0.000 0.000 0.000
Ni1 0.500 0.500 0.500

(7)
A relaxed structure of Sn2RuRhSe. Source: Alexandria via LeMat-Bulk, functional PBE-GGA.

Structure (CIF):
```
data_Sn2RuRhSe
_symmetry_space_group_name_H-M 'P 4/m m m'
_symmetry_Int_Tables_number 123
_symmetry_space_group_name_Hall '-P 4 2'
_cell_length_a 5.341
_cell_length_b 5.341
_cell_length_c 4.463
_cell_angle_alpha 90.00
_cell_angle_beta 90.00
_cell_angle_gamma 90.00
loop_
_atom_site_label
_atom_site_fract_x
_atom_site_fract_y
_atom_site_fract_z
Sn1 0.000 0.500 0.000
Ru1 0.000 0.000 0.500
Rh1 0.500 0.500 0.500
Se1 0.000 0.000 0.000
```

(8)
# TbPmNd3 PBE-GGA optimized geometry
# calculated formation energy	89	kJ/mol of formula units
# E above lowest polymorph	0	meV/atom
data_TbPmNd3
_symmetry_space_group_name_H-M 'C 1 2/m 1'
_symmetry_Int_Tables_number 12
_symmetry_space_group_name_Hall '-C 2y'
_cell_length_a 17.597
_cell_length_b 6.895
_cell_length_c 6.109
_cell_angle_alpha 90.00
_cell_angle_beta 109.73
_cell_angle_gamma 90.00
loop_
_atom_site_label
_atom_site_fract_x
_atom_site_fract_y
_atom_site_fract_z
Tb1 0.051 0.000 0.299
Pm1 0.000 0.500 0.000
Pm2 0.000 0.500 0.500
Nd1 0.153 0.233 0.902
Nd2 0.226 0.500 0.474

(9)
# Li3LaNi8 PBE-GGA optimized geometry
# calculated formation energy	-166	kJ/mol of formula units
data_Li3LaNi8
_symmetry_space_group_name_H-M 'R 3 m'
_symmetry_Int_Tables_number 160
_symmetry_space_group_name_Hall 'R 3 -2"'
_cell_length_a 4.8546
_cell_length_b 4.8546
_cell_length_c 23.9393
_cell_angle_alpha 90.00
_cell_angle_beta 90.00
_cell_angle_gamma 120.00
loop_
_atom_site_label
_atom_site_fract_x
_atom_site_fract_y
_atom_site_fract_z
Li1 0.0000 0.0000 0.0000
Li2 0.0000 0.0000 0.1112
Li3 0.0000 0.0000 0.4776
La1 0.0000 0.0000 0.6089
Ni1 0.0000 0.0000 0.2977
Ni2 0.0000 0.0000 0.7960
Ni3 0.0029 0.5015 0.0495
Ni4 0.1677 0.3355 0.8759

(10)
# Ba3Sr2Ac PBE-GGA optimized geometry
# calculated formation energy	28	kJ/mol of formula units
data_Ba3Sr2Ac
_symmetry_space_group_name_H-M 'P -6 m 2'
_symmetry_Int_Tables_number 187
_symmetry_space_group_name_Hall 'P -6 2'
_cell_length_a 4.2654
_cell_length_b 4.2654
_cell_length_c 42.4735
_cell_angle_alpha 90.00
_cell_angle_beta 90.00
_cell_angle_gamma 120.00
loop_
_atom_site_label
_atom_site_fract_x
_atom_site_fract_y
_atom_site_fract_z
Ba1 0.0000 0.0000 0.0847
Ba2 0.6667 0.3333 0.1721
Ba3 0.6667 0.3333 0.3427
Sr1 0.0000 0.0000 0.2570
Sr2 0.6667 0.3333 0.0000
Sr3 0.6667 0.3333 0.5000
Ac1 0.0000 0.0000 0.4222

(11)
# Nd10DyHo4 PBE-GGA optimized geometry
# calculated formation energy	996	kJ/mol of formula units
data_Nd10DyHo4
_symmetry_space_group_name_H-M 'I 4/m'
_symmetry_Int_Tables_number 87
_symmetry_space_group_name_Hall '-I 4'
_cell_length_a 12.357
_cell_length_b 12.357
_cell_length_c 7.807
_cell_angle_alpha 90.00
_cell_angle_beta 90.00
_cell_angle_gamma 90.00
loop_
_atom_site_label
_atom_site_fract_x
_atom_site_fract_y
_atom_site_fract_z
Nd1 0.000 0.500 0.250
Nd2 0.100 0.200 0.250
Dy1 0.000 0.000 0.000
Ho1 0.100 0.700 0.500

(12)
# NaTl PBE-GGA optimized geometry
# calculated formation energy	-14	kJ/mol of formula units
data_NaTl
_symmetry_space_group_name_H-M 'A m m 2'
_symmetry_Int_Tables_number 38
_symmetry_space_group_name_Hall 'A 2 -2'
_cell_length_a 5.339
_cell_length_b 3.505
_cell_length_c 6.275
_cell_angle_alpha 90.00
_cell_angle_beta 90.00
_cell_angle_gamma 90.00
loop_
_atom_site_label
_atom_site_fract_x
_atom_site_fract_y
_atom_site_fract_z
Na1 0.000 0.000 0.000
Tl1 0.500 0.000 0.678

Number 1: DOS(E_F) 3.5 states/eV per cell, theoretical density 5836 kg/m³, energy -2.29 eV per atom. Number 2: DOS(E_F) 0.0 states/eV per cell, theoretical density 2512 kg/m³, energy -3.30 eV per atom. Number 3: DOS(E_F) 16.1 states/eV per cell, theoretical density 7454 kg/m³, energy -5.61 eV per atom. Number 4: DOS(E_F) 9.4 states/eV per cell, theoretical density 9911 kg/m³, energy -6.49 eV per atom. Number 5: DOS(E_F) 0.0 states/eV per cell, theoretical density 4648 kg/m³, energy -7.79 eV per atom. Number 6: DOS(E_F) 9.4 states/eV per cell, theoretical density 4697 kg/m³, energy -6.87 eV per atom. Number 7: DOS(E_F) 7.7 states/eV per cell, theoretical density 6787 kg/m³, energy -4.54 eV per atom. Number 8: DOS(E_F) 33.5 states/eV per cell, theoretical density 7013 kg/m³, energy -4.55 eV per atom. Number 9: DOS(E_F) 30.8 states/eV per cell, theoretical density 6416 kg/m³, energy -4.89 eV per atom. Number 10: DOS(E_F) 18.4 states/eV per cell, theoretical density 4041 kg/m³, energy -2.16 eV per atom. Number 11: DOS(E_F) 42.6 states/eV per cell, theoretical density 6310 kg/m³, energy -4.02 eV per atom. Number 12: DOS(E_F) 1.9 states/eV per cell, theoretical density 6431 kg/m³, energy -1.92 eV per atom.